4
Lattice="-4.649 1.906 0.533 -3.345 -3.580 1.235 4.507 1.311 1.871" Properties=species:S:1:pos:R:3 comment="TaOsCl2 PBE relaxed" dos_at_fermi_per_ev_atom=0.68 energy_ev_per_cell=-22.4 formation_energy_uncorrected_ev_per_atom=1.0825 density_g_cm3=10.88 space_group="No. 139" pbc="T T T"
Cl 0.000 0.000 0.000
Cl -3.997 -0.837 0.884
Os -1.417 -1.553 1.995
Ta -2.070 1.190 1.644

4
Lattice="-5.424 -6.472 1.716 -4.020 -7.588 -0.714 -2.781 -7.901 2.022" Properties=species:S:1:pos:R:3 comment="TaOs2Cl PBE relaxed" dos_at_fermi_per_ev_atom=0.99 energy_ev_per_cell=-34.5 formation_energy_uncorrected_ev_per_atom=0.4181 density_g_cm3=14.87 space_group="No. 166" pbc="T T T"
Os -12.170 -21.863 3.009
Os -6.167 -11.079 1.525
Cl -9.169 -16.471 2.267
Ta -3.056 -5.490 0.756

8
Lattice="-5.342 0.427 0.558 -0.007 -4.313 3.230 -1.924 1.477 6.463" Properties=species:S:1:pos:R:3 comment="TaOs2Cl PBE relaxed" dos_at_fermi_per_ev_atom=0.37 energy_ev_per_cell=-62.6 formation_energy_uncorrected_ev_per_atom=1.2177 density_g_cm3=11.86 space_group="No. 122" pbc="T T T"
Os -3.571 0.077 2.342
Os -3.449 -0.551 6.419
Os -6.123 -2.091 8.011
Os -1.403 -2.253 3.730
Cl -2.303 -2.390 5.793
Cl -2.675 -1.943 1.894
Ta 0.000 0.000 0.000
Ta -4.970 -0.020 4.458

5
Lattice="-0.649 -4.316 1.915 3.755 -1.644 -2.432 2.863 1.178 3.624" Properties=species:S:1:pos:R:3 comment="TaOsCl3 PBE relaxed" dos_at_fermi_per_ev_atom=1.54 energy_ev_per_cell=-22.2 formation_energy_uncorrected_ev_per_atom=1.2833 density_g_cm3=7.32 space_group="No. 221" pbc="T T T"
Cl 1.431 0.589 1.812
Cl 1.878 -0.822 -1.216
Cl -0.324 -2.158 0.957
Os 0.000 0.000 0.000
Ta 2.984 -2.391 1.554

4
Lattice="3.133 0.000 0.000 0.000 3.133 0.000 0.000 0.000 6.929" Properties=species:S:1:pos:R:3 comment="TaOs2Cl PBE relaxed" dos_at_fermi_per_ev_atom=0.90 energy_ev_per_cell=-34.1 formation_energy_uncorrected_ev_per_atom=0.5038 density_g_cm3=14.57 space_group="No. 123" pbc="T T T"
Cl 1.567 1.567 5.196
Os 0.000 0.000 0.237
Os 0.000 0.000 3.227
Ta 1.567 1.567 1.732

4
Lattice="-1.194 -0.900 2.418 -1.854 -1.553 -1.494 5.772 -7.091 0.209" Properties=species:S:1:pos:R:3 comment="TaOs2Cl PBE relaxed" dos_at_fermi_per_ev_atom=0.71 energy_ev_per_cell=-35.1 formation_energy_uncorrected_ev_per_atom=0.2578 density_g_cm3=13.41 space_group="No. 99" pbc="T T T"
Cl 2.348 -5.985 0.603
Ta 2.819 -3.463 0.102
Os -0.016 -3.079 0.517
Os 0.459 -0.563 0.017

4
Lattice="3.021 -0.001 0.000 -1.680 2.511 0.000 0.000 0.000 11.571" Properties=species:S:1:pos:R:3 comment="TaOsCl2 PBE relaxed" dos_at_fermi_per_ev_atom=0.83 energy_ev_per_cell=-24.3 formation_energy_uncorrected_ev_per_atom=0.6210 density_g_cm3=8.36 space_group="No. 65" pbc="T T T"
Ta 0.671 1.255 8.678
Cl 0.000 0.000 10.706
Cl 0.000 0.000 6.651
Os 0.671 1.255 2.893

4
Lattice="4.403 0.000 0.000 0.000 4.403 0.000 0.000 0.000 3.179" Properties=species:S:1:pos:R:3 comment="TaOsCl2 PBE relaxed" dos_at_fermi_per_ev_atom=1.05 energy_ev_per_cell=-21.9 formation_energy_uncorrected_ev_per_atom=1.2207 density_g_cm3=11.91 space_group="No. 123" pbc="T T T"
Os 2.201 0.000 1.590
Ta 0.000 2.201 1.590
Cl 0.000 0.000 0.000
Cl 2.201 2.201 0.000